# 1
Here is a relaxed TaCdOs crystal from Alexandria via LeMat-Bulk. Energies are from PBE.

Formation energy from the elements = 305.7 meV/atom
Excess energy over the best structure of this formula in the dataset = 0.140 eV/atom

Geometry as extended XYZ:
```
3
Lattice="0.000 2.388 7.141 1.575 0.000 7.141 1.575 2.388 0.000" Properties=species:S:1:pos:R:3 pbc="T T T"
Ta 0.000 0.000 0.000
Cd 1.575 2.388 9.744
Os 1.575 2.388 5.091
```

# 2
Here is a relaxed TaCdOs2 crystal from Alexandria via LeMat-Bulk. Energies are from PBE.

Formation energy from the elements = 277.8 meV/atom

Geometry as extended XYZ:
```
4
Lattice="4.594 -1.490 0.000 4.594 1.490 0.000 -1.169 0.000 4.902" Properties=species:S:1:pos:R:3 pbc="T T T"
Ta 0.000 0.000 0.000
Cd 4.010 0.000 2.451
Os 1.534 0.000 3.815
Os 6.486 0.000 1.087
```

# 3
Here is a relaxed ZrTaCdOs2 crystal from Alexandria via LeMat-Bulk. Energies are from PBE.

Formation energy from the elements = 2295.3 meV/atom

Geometry as extended XYZ:
```
5
Lattice="4.772 0.000 0.000 0.000 4.772 0.000 0.000 0.000 4.865" Properties=species:S:1:pos:R:3 pbc="T T T"
Zr 0.000 0.000 0.000
Ta 2.386 2.386 0.000
Cd 0.000 0.000 2.432
Os 0.000 2.386 2.432
Os 2.386 0.000 2.432
```

# 4
Here is a relaxed Tb8Cd2Os crystal from Alexandria via LeMat-Bulk. Energies are from PBE.

Formation energy from the elements = -164.3 meV/atom

Geometry as extended XYZ:
```
11
Lattice="8.825 -2.669 0.000 8.825 2.669 0.000 -2.426 0.000 6.567" Properties=species:S:1:pos:R:3 pbc="T T T"
Tb -0.357 0.000 1.901
Tb 1.571 0.000 5.157
Tb 4.806 0.000 3.609
Tb 6.994 0.000 0.527
Tb 8.229 0.000 6.040
Tb 10.417 0.000 2.957
Tb 13.652 0.000 1.409
Tb 15.580 0.000 4.666
Cd 2.705 0.000 1.333
Cd 12.518 0.000 5.234
Os 7.611 0.000 3.283
```

# 5
Here is a relaxed Tb3CdOs crystal from Alexandria via LeMat-Bulk. Energies are from PBE.

Formation energy from the elements = -282.3 meV/atom
Excess energy over the best structure of this formula in the dataset = 0.000 eV/atom

Geometry as extended XYZ:
```
10
Lattice="0.000 4.887 8.069 3.268 0.000 8.069 3.268 4.887 0.000" Properties=species:S:1:pos:R:3 pbc="T T T"
Tb 3.268 3.023 6.288
Tb 3.268 4.887 3.251
Tb 3.268 3.023 9.851
Tb 3.268 6.751 6.288
Tb 3.268 4.887 12.887
Tb 3.268 6.751 9.851
Cd 5.177 4.887 8.069
Cd 1.359 4.887 8.069
Os 1.634 2.444 4.035
Os 4.902 7.331 12.104
```

# 6
Here is a relaxed Tb6Cd3Os crystal from Alexandria via LeMat-Bulk. Energies are from PBE.

Formation energy from the elements = -233.5 meV/atom

Geometry as extended XYZ:
```
20
Lattice="9.140 0.000 0.000 0.000 5.282 0.000 -3.687 0.000 10.904" Properties=species:S:1:pos:R:3 pbc="T T T"
Tb -1.227 1.320 4.523
Tb 1.126 3.961 1.778
Tb 2.562 1.320 0.027
Tb 0.136 3.961 9.082
Tb 2.172 1.320 3.778
Tb 1.178 1.320 7.075
Tb 4.275 3.961 3.829
Tb 3.281 3.961 7.126
Tb 5.317 1.320 1.822
Tb 2.891 3.961 10.877
Tb 4.327 1.320 9.126
Tb 6.680 3.961 6.381
Cd -3.123 3.961 9.462
Cd -1.889 1.320 7.854
Cd 0.736 3.961 5.140
Cd 4.717 1.320 5.764
Cd 7.342 3.961 3.050
Cd 8.576 1.320 1.442
Os 3.874 3.961 1.036
Os 1.579 1.320 9.868
```

# 7
Here is a relaxed Tb3Cd2Os crystal from Alexandria via LeMat-Bulk. Energies are from PBE.

Formation energy from the elements = -298.5 meV/atom

Geometry as extended XYZ:
```
12
Lattice="2.522 -7.511 0.000 2.522 7.511 0.000 0.000 0.000 7.676" Properties=species:S:1:pos:R:3 pbc="T T T"
Tb 0.000 0.000 1.752
Tb 0.000 0.000 5.924
Tb 2.522 2.623 1.676
Tb 2.522 2.623 5.999
Tb 2.522 -2.623 1.676
Tb 2.522 -2.623 5.999
Cd 2.522 5.021 3.838
Cd 2.522 0.000 0.000
Cd 2.522 0.000 3.838
Cd 2.522 -5.021 3.838
Os 2.522 5.081 0.000
Os 2.522 -5.081 0.000
```

# 8
Here is a relaxed Tb5Cd2Os2 crystal from Alexandria via LeMat-Bulk. Energies are from PBE.

Formation energy from the elements = -252.3 meV/atom

Geometry as extended XYZ:
```
18
Lattice="8.215 -3.733 0.000 8.215 3.733 0.000 0.000 0.000 7.630" Properties=species:S:1:pos:R:3 pbc="T T T"
Tb 0.000 0.000 0.000
Tb 6.245 2.375 5.210
Tb 6.245 1.358 1.395
Tb 10.185 2.375 5.210
Tb 10.185 1.358 1.395
Tb 8.215 0.000 3.815
Tb 6.245 -1.358 6.235
Tb 6.245 -2.375 2.420
Tb 10.185 -1.358 6.235
Tb 10.185 -2.375 2.420
Cd 3.661 0.000 0.000
Cd 4.554 0.000 3.815
Cd 11.876 0.000 3.815
Cd 12.769 0.000 0.000
Os 8.215 2.877 2.905
Os 8.215 0.856 6.720
Os 8.215 -0.856 0.910
Os 8.215 -2.877 4.725
```

# 9
Here is a relaxed Tb8CdOs2 crystal from Alexandria via LeMat-Bulk. Energies are from PBE.

Formation energy from the elements = -154.9 meV/atom

Geometry as extended XYZ:
```
11
Lattice="4.398 -6.541 0.000 4.398 6.541 0.000 -1.284 0.000 5.390" Properties=species:S:1:pos:R:3 pbc="T T T"
Tb 0.981 1.741 3.131
Tb 4.398 3.286 0.000
Tb 0.981 -1.741 3.131
Tb 3.115 0.000 1.095
Tb 4.397 0.000 4.295
Tb 6.531 1.741 2.259
Tb 4.398 -3.286 0.000
Tb 6.531 -1.741 2.259
Cd 0.000 0.000 0.000
Os 3.756 2.434 2.695
Os 3.756 -2.434 2.695
```

# 10
Here is a relaxed Tb6CdOs crystal from Alexandria via LeMat-Bulk. Energies are from PBE.

Formation energy from the elements = -65.0 meV/atom
Excess energy over the best structure of this formula in the dataset = 0.000 eV/atom

Geometry as extended XYZ:
```
8
Lattice="-2.526 2.526 8.690 2.526 -2.526 8.690 2.526 2.526 -8.690" Properties=species:S:1:pos:R:3 pbc="T T T"
Tb 2.526 0.000 1.734
Tb 0.000 0.000 4.328
Tb 2.526 0.000 6.956
Tb 0.000 2.526 1.734
Tb 0.000 0.000 13.053
Tb 0.000 2.526 6.956
Cd 0.000 0.000 0.000
Os 0.000 0.000 8.690
```

# 11
Here is a relaxed Tb6CdOs2 crystal from Alexandria via LeMat-Bulk. Energies are from PBE.

Formation energy from the elements = -242.8 meV/atom

Geometry as extended XYZ:
```
18
Lattice="-4.740 4.768 5.258 4.740 -4.768 5.258 4.740 4.768 -5.258" Properties=species:S:1:pos:R:3 pbc="T T T"
Tb 4.740 2.812 -2.708
Tb 2.663 1.760 0.000
Tb 6.817 1.760 0.000
Tb 1.759 4.768 -1.792
Tb 2.982 0.000 3.467
Tb 0.000 1.956 2.550
Tb 4.740 2.812 2.708
Tb 1.759 4.768 1.792
Tb 2.982 0.000 7.050
Tb -2.077 3.009 5.258
Tb 2.077 3.009 5.258
Tb 0.000 1.956 7.966
Cd 0.000 0.000 0.000
Cd 0.000 0.000 5.258
Os 4.740 0.000 1.261
Os 0.000 3.100 0.000
Os 0.000 6.437 0.000
Os 0.000 4.768 3.997
```

# 12
Here is a relaxed Tb3CdOs crystal from Alexandria via LeMat-Bulk. Energies are from PBE.

Formation energy from the elements = -173.0 meV/atom
Excess energy over the best structure of this formula in the dataset = 0.109 eV/atom

Geometry as extended XYZ:
```
10
Lattice="7.428 0.000 0.000 0.000 4.465 0.000 -2.539 0.000 8.332" Properties=species:S:1:pos:R:3 pbc="T T T"
Tb -0.195 1.116 2.334
Tb -0.160 1.116 7.721
Tb 0.995 3.349 4.963
Tb 3.895 1.116 3.369
Tb 5.050 3.349 0.611
Tb 5.084 3.349 5.998
Cd 2.008 3.349 1.670
Cd 2.882 1.116 6.662
Os -0.824 1.116 5.069
Os 5.713 3.349 3.263
```

Q: Which value of formation energy from the elements does entry 6 give?
A: -233.5 meV/atom

Q: Among the records above, which one has the highest formation energy from the elements?
A: ZrTaCdOs2

Q: Which value of formation energy from the elements does entry 10 give?
A: -65.0 meV/atom

Q: Look up the formation energy from the elements of the sixth one.
A: -233.5 meV/atom